First-principles (PBE-GGA) data for a relaxed structure of Ho2ScTe4, as listed in Alexandria.

Cell and atoms, written as POSCAR:
```
Ho2ScTe4
1.0
7.885 -2.134 0.000
7.885 2.134 0.000
-3.555 0.000 6.605
Ho Sc Te
2 1 4
Direct
0.244 0.244 0.230
0.756 0.756 0.770
0.500 0.500 0.500
0.123 0.123 0.461
0.385 0.385 0.058
0.615 0.615 0.942
0.877 0.877 0.539
```

energy relative to the elements, uncorrected	-30.61	kcal/mol of atoms
total magnetization	0.00	μB per atom

=====

First-principles (PBE-GGA) data for a relaxed structure of RbH2RuCl8, as listed in Alexandria.

Cell and atoms, written as POSCAR:
```
RbH2RuCl8
1.0
6.523 0.000 0.000
0.956 6.859 0.000
1.472 0.203 7.503
Rb H Ru Cl
1 2 1 8
Direct
0.000 0.000 0.000
0.353 0.379 0.201
0.647 0.621 0.799
0.500 0.000 0.500
0.162 0.162 0.561
0.196 0.435 0.116
0.386 0.728 0.668
0.430 0.876 0.246
0.570 0.124 0.754
0.614 0.272 0.332
0.804 0.565 0.884
0.838 0.838 0.439
```

total magnetization	0.24	μB per atom
uncorrected energy	-3.37	eV per atom